3
Lattice="-1.822 1.654 3.165 -4.004 0.101 0.181 -1.947 -2.317 2.630" Properties=species:S:1:pos:R:3 comment="MnTcIr, relaxed, DFT PBE" m_tot_mub_per_fu=0.000 delta_e_f_mev_per_atom=373.8 sg=F-43m pbc="T T T"
Tc 0.000 0.000 0.000
Mn -5.830 -0.421 4.482
Ir -3.887 -0.281 2.988